Entry 1:
Below is a relaxed NaAc2Sb4Rh3 crystal, with properties calculated at the PBE level.

a b c (Å): 4.714 4.714 10.877
angles (deg): 90.00 90.00 90.00
Element x y z (fractional)
Na  0.500  0.500  0.500
Ac  0.500  0.000  0.246
Ac  0.000  0.500  0.754
Sb  0.500  0.500  0.000
Sb  0.000  0.000  0.000
Sb  0.500  0.000  0.643
Sb  0.000  0.500  0.357
Rh  0.000  0.000  0.500
Rh  0.500  0.000  0.887
Rh  0.000  0.500  0.113

- formation energy from raw total energies (eV per formula unit) = -7.36
- final energy (eV per atom) = -5.5444

---

Entry 2:
Below is a relaxed NaAcSbRh crystal, with properties calculated at the PBE level.

a b c (Å): 5.093 5.093 5.093
angles (deg): 60.00 60.00 60.00
Element x y z (fractional)
Sb  0.250  0.250  0.250
Ac  0.750  0.750  0.750
Rh  0.500  0.500  0.500
Na  0.000  0.000  0.000

- formation energy from raw total energies (eV per formula unit) = -1.99
- final energy (eV per atom) = -4.7226

---

Entry 3:
Below is a relaxed NaSrAcRh crystal, with properties calculated at the PBE level.

a b c (Å): 5.474 5.474 5.474
angles (deg): 60.00 60.00 60.00
Element x y z (fractional)
Sr  0.750  0.750  0.750
Ac  0.250  0.250  0.250
Rh  0.000  0.000  0.000
Na  0.500  0.500  0.500

- polymorph energy (0 for the lowest one) (eV per formula unit) = 0.966
- ΔH_f (0 K) (meV/atom) = -51
- final energy (eV per atom) = -3.6659

---

Entry 4:
Below is a relaxed NaSrAcRh crystal, with properties calculated at the PBE level.

a b c (Å): 4.272 4.271 10.205
angles (deg): 90.00 102.23 119.99
Element x y z (fractional)
Na  0.968  0.382  0.364
Sr  0.521  0.158  0.697
Ac  0.078  0.937  0.029
Rh  0.311  0.553  0.880

- polymorph energy (0 for the lowest one) (eV per formula unit) = 0.000
- ΔH_f (0 K) (meV/atom) = -292
- final energy (eV per atom) = -3.9073

---

Entry 5:
Below is a relaxed NaAcTeRh crystal, with properties calculated at the PBE level.

a b c (Å): 5.151 5.151 5.151
angles (deg): 60.00 60.00 60.00
Element x y z (fractional)
Na  0.500  0.500  0.500
Ac  0.750  0.750  0.750
Te  0.250  0.250  0.250
Rh  0.000  0.000  0.000

- formation energy from raw total energies (eV per formula unit) = -1.65
- final energy (eV per atom) = -4.3917

---

Entry 6:
Below is a relaxed NaAc8Ru2 crystal, with properties calculated at the PBE level.

a b c (Å): 6.888 7.628 9.158
angles (deg): 114.61 83.11 90.00
Element x y z (fractional)
Na  0.000  0.000  0.000
Ac  0.617  0.889  0.273
Ac  0.383  0.616  0.727
Ac  0.895  0.794  0.587
Ac  0.105  0.206  0.413
Ac  0.617  0.384  0.273
Ac  0.383  0.111  0.727
Ac  0.174  0.578  0.156
Ac  0.826  0.422  0.844
Ru  0.330  0.729  0.459
Ru  0.670  0.271  0.541

- ΔH_f (0 K) (meV/atom) = -39
- final energy (eV per atom) = -4.8333

---

Entry 7:
Below is a relaxed NaAc4Ru2 crystal, with properties calculated at the PBE level.

a b c (Å): 4.352 6.620 9.511
angles (deg): 98.90 103.23 90.00
Element x y z (fractional)
Na  0.500  0.500  0.000
Ac  0.635  0.051  0.271
Ac  0.365  0.949  0.729
Ac  0.177  0.590  0.353
Ac  0.823  0.410  0.647
Ru  0.235  0.170  0.470
Ru  0.765  0.830  0.530

- polymorph energy (0 for the lowest one) (eV per formula unit) = 0.000
- ΔH_f (0 K) (meV/atom) = -99
- final energy (eV per atom) = -5.2851

---

Entry 8:
Below is a relaxed NaAc4Ru2 crystal, with properties calculated at the PBE level.

a b c (Å): 8.215 8.216 9.645
angles (deg): 123.81 109.78 87.08
Element x y z (fractional)
Na  0.115  0.615  0.500
Na  0.136  0.136  0.000
Ac  0.878  0.128  0.271
Ac  0.373  0.622  0.229
Ac  0.856  0.606  0.729
Ac  0.838  0.057  0.625
Ac  0.432  0.212  0.375
Ac  0.393  0.144  0.771
Ac  0.412  0.692  0.875
Ac  0.818  0.538  0.125
Ru  0.626  0.375  0.750
Ru  0.625  0.875  0.250
Ru  0.624  0.374  0.249
Ru  0.125  0.375  0.751

- polymorph energy (0 for the lowest one) (eV per formula unit) = 0.993
- ΔH_f (0 K) (meV/atom) = 43
- final energy (eV per atom) = -5.1434

---

Entry 9:
Below is a relaxed NaAc6Ru3 crystal, with properties calculated at the PBE level.

a b c (Å): 4.296 13.041 13.251
angles (deg): 102.12 90.00 90.00
Element x y z (fractional)
Na  0.750  0.031  0.644
Na  0.250  0.969  0.356
Ac  0.750  0.522  0.632
Ac  0.250  0.478  0.368
Ac  0.750  0.929  0.093
Ac  0.250  0.071  0.907
Ac  0.750  0.385  0.042
Ac  0.250  0.615  0.958
Ac  0.750  0.668  0.241
Ac  0.250  0.332  0.759
Ac  0.750  0.228  0.474
Ac  0.250  0.772  0.526
Ac  0.750  0.796  0.801
Ac  0.250  0.204  0.199
Ru  0.750  0.485  0.839
Ru  0.250  0.515  0.161
Ru  0.750  0.639  0.465
Ru  0.250  0.361  0.535
Ru  0.750  0.152  0.058
Ru  0.250  0.848  0.942

- ΔH_f (0 K) (meV/atom) = -108
- final energy (eV per atom) = -5.4880

---

Entry 10:
Below is a relaxed NaAc4Ru crystal, with properties calculated at the PBE level.

a b c (Å): 7.172 9.414 9.508
angles (deg): 113.84 104.94 103.95
Element x y z (fractional)
Na  0.345  0.595  0.190
Na  0.655  0.405  0.810
Ac  0.284  0.945  0.586
Ac  0.069  0.871  0.113
Ac  0.199  0.359  0.414
Ac  0.456  0.758  0.887
Ac  0.716  0.055  0.414
Ac  0.801  0.641  0.586
Ac  0.931  0.129  0.887
Ac  0.544  0.242  0.113
Ru  0.829  0.079  0.159
Ru  0.171  0.921  0.841

- ΔH_f (0 K) (meV/atom) = 16
- final energy (eV per atom) = -4.4885

---

Entry 11:
Below is a relaxed NaAcS14 crystal, with properties calculated at the PBE level.

a b c (Å): 16.259 13.960 13.960
angles (deg): 33.11 38.88 38.88
Element x y z (fractional)
Na  0.250  0.190  0.310
Na  0.750  0.810  0.690
Ac  0.500  0.000  0.500
Ac  0.000  0.000  0.500
S  0.754  0.331  0.245
S  0.246  0.669  0.755
S  0.254  0.745  0.831
S  0.746  0.255  0.169
S  0.192  0.205  0.547
S  0.808  0.795  0.453
S  0.692  0.047  0.705
S  0.308  0.953  0.295
S  0.106  0.001  0.789
S  0.894  0.999  0.211
S  0.606  0.289  0.501
S  0.394  0.711  0.499
S  0.824  0.400  0.399
S  0.548  0.394  0.937
S  0.324  0.899  0.900
S  0.048  0.437  0.894
S  0.176  0.600  0.601
S  0.452  0.606  0.063
S  0.676  0.101  0.100
S  0.952  0.563  0.106
S  0.440  0.041  0.731
S  0.141  0.287  0.045
S  0.940  0.231  0.541
S  0.641  0.545  0.787
S  0.560  0.959  0.269
S  0.859  0.713  0.955
S  0.060  0.769  0.459
S  0.359  0.455  0.213

- formation energy from raw total energies (eV per formula unit) = -5.15
- final energy (eV per atom) = -4.2729

---

Entry 12:
Below is a relaxed NaAcS4 crystal, with properties calculated at the PBE level.

a b c (Å): 5.675 5.675 5.675
angles (deg): 60.00 60.00 60.00
Element x y z (fractional)
Na  0.000  0.000  0.000
Ac  0.250  0.250  0.250
S  0.625  0.625  0.124
S  0.625  0.124  0.625
S  0.625  0.625  0.625
S  0.124  0.625  0.625

- formation energy from raw total energies (eV per formula unit) = -2.01
- final energy (eV per atom) = -3.9905

---

Entry 13:
Below is a relaxed NaAc2S crystal, with properties calculated at the PBE level.

a b c (Å): 4.088 4.088 11.600
angles (deg): 79.85 79.85 60.00
Element x y z (fractional)
Na  0.000  0.000  0.000
Ac  0.113  0.113  0.660
Ac  0.887  0.887  0.340
S  0.500  0.500  0.500

- formation energy from raw total energies (eV per formula unit) = -2.85
- final energy (eV per atom) = -4.1288

---

Entry 14:
Below is a relaxed NaAc3S4 crystal, with properties calculated at the PBE level.

a b c (Å): 6.050 6.050 6.050
angles (deg): 90.00 90.00 90.00
Element x y z (fractional)
Na  0.000  0.000  0.000
Ac  0.000  0.500  0.500
Ac  0.500  0.000  0.500
Ac  0.500  0.500  0.000
S  0.500  0.000  0.000
S  0.000  0.500  0.000
S  0.000  0.000  0.500
S  0.500  0.500  0.500

- formation energy from raw total energies (eV per formula unit) = -15.44
- final energy (eV per atom) = -5.6992

---

Entry 15:
Below is a relaxed NaAc5S6 crystal, with properties calculated at the PBE level.

a b c (Å): 7.429 7.423 7.426
angles (deg): 60.01 80.40 70.50
Element x y z (fractional)
Na  0.000  0.000  0.000
Ac  0.500  0.166  0.668
Ac  0.000  0.334  0.332
Ac  0.500  0.500  0.000
Ac  0.000  0.666  0.668
Ac  0.500  0.834  0.332
S  0.753  0.082  0.329
S  0.247  0.589  0.329
S  0.245  0.246  0.000
S  0.755  0.754  0.000
S  0.753  0.411  0.671
S  0.247  0.918  0.671

- formation energy from raw total energies (eV per formula unit) = -23.24
- final energy (eV per atom) = -5.8223

---

Entry 16:
Below is a relaxed Na4Ac3SbS8 crystal, with properties calculated at the PBE level.

a b c (Å): 8.554 8.352 8.552
angles (deg): 120.83 120.01 90.00
Element x y z (fractional)
Na  0.500  0.000  0.000
Na  0.500  0.000  0.500
Na  0.000  0.000  0.000
Na  0.000  0.000  0.500
Ac  0.500  0.500  0.000
Ac  0.500  0.500  0.500
Ac  0.000  0.500  0.500
Sb  0.000  0.500  0.000
S  0.238  0.736  0.998
S  0.238  0.736  0.475
S  0.252  0.257  0.504
S  0.761  0.736  0.998
S  0.239  0.264  0.002
S  0.748  0.743  0.496
S  0.762  0.264  0.525
S  0.762  0.264  0.002

- formation energy from raw total energies (eV per formula unit) = -24.19
- final energy (eV per atom) = -4.9332

---

Entry 17:
Below is a relaxed Na2AcSbS4 crystal, with properties calculated at the PBE level.

a b c (Å): 8.333 8.333 8.554
angles (deg): 120.90 120.90 89.73
Element x y z (fractional)
Na  0.500  0.000  0.000
Na  0.500  0.000  0.500
Na  0.000  0.000  0.500
Na  0.500  0.500  0.000
Ac  0.000  0.500  0.000
Ac  0.000  0.500  0.500
Sb  0.500  0.500  0.500
Sb  0.000  0.000  0.000
S  0.240  0.761  0.001
S  0.739  0.260  0.499
S  0.261  0.740  0.501
S  0.760  0.239  0.999
S  0.749  0.752  0.979
S  0.748  0.751  0.521
S  0.252  0.249  0.479
S  0.251  0.248  0.021

- formation energy from raw total energies (eV per formula unit) = -9.76
- final energy (eV per atom) = -4.6419

---

Entry 18:
Below is a relaxed NaAc2SbS6 crystal, with properties calculated at the PBE level.

a b c (Å): 6.830 7.531 9.833
angles (deg): 90.00 88.94 90.00
Element x y z (fractional)
Na  0.500  0.000  0.000
Na  0.000  0.500  0.500
Ac  0.034  0.905  0.250
Ac  0.534  0.595  0.750
Ac  0.966  0.095  0.750
Ac  0.466  0.405  0.250
Sb  0.500  0.000  0.500
Sb  0.000  0.500  0.000
S  0.306  0.673  0.052
S  0.806  0.827  0.552
S  0.694  0.327  0.948
S  0.194  0.173  0.448
S  0.331  0.706  0.442
S  0.831  0.794  0.942
S  0.669  0.294  0.558
S  0.169  0.206  0.058
S  0.882  0.534  0.240
S  0.382  0.966  0.740
S  0.118  0.466  0.760
S  0.618  0.034  0.260

- formation energy from raw total energies (eV per formula unit) = -13.08
- final energy (eV per atom) = -5.1506

---

Entry 19:
Below is a relaxed Na3Ac3ScS8 crystal, with properties calculated at the PBE level.

a b c (Å): 8.569 8.568 8.233
angles (deg): 121.38 90.00 120.00
Element x y z (fractional)
Na  0.000  0.000  0.000
Na  0.000  0.500  0.000
Na  0.500  0.500  0.000
Ac  0.500  0.000  0.500
Ac  0.500  0.500  0.500
Ac  0.000  0.500  0.500
Sc  0.000  0.000  0.500
S  0.251  0.502  0.254
S  0.749  0.498  0.746
S  0.777  0.555  0.279
S  0.223  0.445  0.721
S  0.777  0.002  0.280
S  0.223  0.998  0.720
S  0.225  0.002  0.280
S  0.775  0.998  0.720

- formation energy from raw total energies (eV per formula unit) = -25.20
- final energy (eV per atom) = -5.3886

---

Entry 20:
Below is a relaxed Na3Ac2ScS6 crystal, with properties calculated at the PBE level.

a b c (Å): 7.256 7.256 7.111
angles (deg): 99.67 99.67 120.11
Element x y z (fractional)
Na  0.158  0.842  0.500
Na  0.842  0.158  0.500
Na  0.500  0.500  0.500
Ac  0.332  0.668  0.000
Ac  0.668  0.332  0.000
Sc  0.000  0.000  0.000
S  0.923  0.621  0.768
S  0.772  0.772  0.225
S  0.077  0.379  0.232
S  0.621  0.923  0.768
S  0.228  0.228  0.775
S  0.379  0.077  0.232

- formation energy from raw total energies (eV per formula unit) = -21.05
- final energy (eV per atom) = -5.3599